[1]
Entry from the Open Quantum Materials Database: a geometry-optimized ZnCdFeIr structure (PBE-GGA).

Unit cell a=6.2359 b=6.2359 c=6.2359 alpha=90.00 beta=90.00 gamma=90.00
With the nearest neighbours (Å) after each atom.
Space group F-43m (No. 216)
Symmetry-distinct sites (fractional):
Zn (0.0000, 0.0000, 0.0000) x4  4 Cd 2.70, 4 Fe 2.70
Cd (0.2500, 0.2500, 0.7500) x4  4 Ir 2.70, 4 Zn 2.70
Fe (0.2500, 0.2500, 0.2500) x4  4 Ir 2.70, 4 Zn 2.70
Ir (0.0000, 0.0000, 0.5000) x4  4 Cd 2.70, 4 Fe 2.70

Results
E = -74.8 eV/cell
M_tot = 12.22 Bohr magnetons per cell
ΔE_f = 0.16 eV/atom
excess energy over the best structure of this formula in the dataset = 0.000 eV/atom



[2]
Entry from the Open Quantum Materials Database: a geometry-optimized NdDyFe2Si2C structure (PBE-GGA).

Unit cell a=10.6915 b=3.9620 c=6.8696 alpha=90.00 beta=129.54 gamma=90.00
With the nearest neighbours (Å) after each atom.
Space group Cm (No. 8)
Symmetry-distinct sites (fractional):
Nd (0.0000, 0.0000, 0.0000) x2  2 C 2.66
Dy (0.3805, 0.5000, 0.4078) x2  2 C 2.57
Fe (0.1353, 0.5000, 0.7897) x2  1 C 1.79
Fe (0.2380, 0.0000, 0.6065) x2  1 C 1.79
Si (0.1051, 0.5000, 0.4265) x2  3 Fe 2.29-2.30
Si (0.2714, 0.0000, 0.9752) x2  3 Fe 2.30-2.32
C (0.4343, 0.0000, 0.6895) x2  2 Fe 1.79

Results
E = -101.1 eV/cell
M_tot = 0.01 Bohr magnetons per cell



[3]
Entry from the Open Quantum Materials Database: a geometry-optimized Y2TaFeC6 structure (PBE-GGA).

Unit cell a=4.8705 b=4.8705 c=32.9248 alpha=90.00 beta=90.00 gamma=120.00
With the nearest neighbours (Å) after each atom.
Space group R-3m (No. 166, hexagonal axes)
Symmetry-distinct sites (fractional):
Y (0.0000, 0.0000, 0.1328) x6  12 C 2.50-2.72
Y (0.0000, 0.0000, 0.2914) x6  6 C 2.52
Ta (0.0000, 0.0000, 0.4211) x6  6 C 2.21-2.29
Fe (0.0000, 0.0000, 0.0000) x3  6 C 2.01
Fe (0.0000, 0.0000, 0.5000) x3  6 C 2.35, 2 Ta 2.60
C (0.1055, 0.2109, 0.2077) x18  2 C 1.54
C (0.1056, 0.2112, 0.0547) x18  2 C 1.54

Results
E = -523.6 eV/cell
M_tot = 5.62 Bohr magnetons per cell



[4]
Entry from the Open Quantum Materials Database: a geometry-optimized NaHgIrW structure (PBE-GGA).

Unit cell a=6.4425 b=6.4425 c=6.4425 alpha=90.00 beta=90.00 gamma=90.00
With the nearest neighbours (Å) after each atom.
Space group F-43m (No. 216)
Symmetry-distinct sites (fractional):
Na (0.0000, 0.0000, 0.0000) x4  4 Hg 2.79, 4 W 2.79
Hg (0.2500, 0.2500, 0.7500) x4  4 Na 2.79, 4 Ir 2.79
Ir (0.0000, 0.0000, 0.5000) x4  4 Hg 2.79, 4 W 2.79
W (0.2500, 0.2500, 0.2500) x4  4 Na 2.79, 4 Ir 2.79

Results
E = -84.6 eV/cell
M_tot = 0.01 Bohr magnetons per cell
excess energy over the best structure of this formula in the dataset = 0.000 eV/atom



[5]
Entry from the Open Quantum Materials Database: a geometry-optimized GaMo3C structure (PBE-GGA).

Unit cell a=4.1489 b=4.1489 c=4.1489 alpha=90.00 beta=90.00 gamma=90.00
With the nearest neighbours (Å) after each atom.
Space group Pm-3m (No. 221)
Symmetry-distinct sites (fractional):
Ga (0.0000, 0.0000, 0.0000) x1  12 Mo 2.93
Mo (0.0000, 0.5000, 0.5000) x3  2 C 2.07
C (0.5000, 0.5000, 0.5000) x1  6 Mo 2.07

Results
E = -44.3 eV/cell
M_tot = 0.00 Bohr magnetons per cell



[6]
Entry from the Open Quantum Materials Database: a geometry-optimized ZrAl2Pt structure (PBE-GGA).

Unit cell a=6.5269 b=6.5269 c=6.5269 alpha=90.00 beta=90.00 gamma=90.00
With the nearest neighbours (Å) after each atom.
Space group F-43m (No. 216)
Symmetry-distinct sites (fractional):
Zr (0.0000, 0.0000, 0.0000) x4  4 Al 2.83, 4 Pt 2.83
Al (0.0000, 0.0000, 0.5000) x4  4 Al 2.83, 4 Pt 2.83
Al (0.2500, 0.2500, 0.2500) x4  4 Al 2.83, 4 Zr 2.83
Pt (0.2500, 0.2500, 0.7500) x4  4 Zr 2.83, 4 Al 2.83

Results
E = -97.5 eV/cell
M_tot = 0.01 Bohr magnetons per cell



[7]
Entry from the Open Quantum Materials Database: a geometry-optimized RbLuPtSe3 structure (PBE-GGA).

Unit cell a=4.0345 b=16.5524 c=10.0279 alpha=90.00 beta=90.00 gamma=90.00
With the nearest neighbours (Å) after each atom.
Space group Cmcm (No. 63)
Symmetry-distinct sites (fractional):
Rb (0.0000, 0.2443, 0.2500) x4  6 Se 3.48-3.49
Lu (0.0000, 0.0000, 0.0000) x4  6 Se 2.83-2.87
Pt (0.0000, 0.4908, 0.7500) x4  4 Se 2.50-2.54
Se (0.0000, 0.0839, 0.7500) x4  2 Pt 2.54
Se (0.0000, 0.3872, 0.5686) x8  1 Pt 2.50

Results
E = -114.6 eV/cell
M_tot = 0.03 Bohr magnetons per cell



[8]
Entry from the Open Quantum Materials Database: a geometry-optimized LaTlCoSe3 structure (PBE-GGA).

Unit cell a=11.7788 b=4.2824 c=12.5880 alpha=90.00 beta=90.00 gamma=90.00
With the nearest neighbours (Å) after each atom.
Space group Pnma (No. 62)
Symmetry-distinct sites (fractional):
La (0.0190, 0.2500, 0.1736) x4  7 Se 3.00-3.16
Tl (0.1695, 0.2500, 0.5078) x4  7 Se 3.26-3.42, 2 Co 3.51
Co (0.2496, 0.2500, 0.7998) x4  4 Se 2.38-2.44
Se (0.0525, 0.7500, 0.3380) x4  1 Co 2.38
Se (0.1147, 0.2500, 0.9429) x4  1 Co 2.40
Se (0.2192, 0.7500, 0.7106) x4  2 Co 2.44

Results
E = -121.9 eV/cell
M_tot = 10.84 Bohr magnetons per cell
excess energy over the best structure of this formula in the dataset = 0.000 eV/atom



[9]
Entry from the Open Quantum Materials Database: a geometry-optimized RbInPdS3 structure (PBE-GGA).

Unit cell a=8.6781 b=4.2165 c=9.4790 alpha=90.00 beta=104.85 gamma=90.00
With the nearest neighbours (Å) after each atom.
Space group P2_1/m (No. 11)
Symmetry-distinct sites (fractional):
Rb (0.1948, 0.2500, 0.2321) x2  5 S 3.34-3.51, 2 Pd 3.71
In (0.3444, 0.7500, 0.8802) x2  6 S 2.54-2.78
Pd (0.0607, 0.2500, 0.5984) x2  4 S 2.35-2.42
S (0.1391, 0.2500, 0.8552) x2  1 Pd 2.35
S (0.1808, 0.7500, 0.5974) x2  3 Pd 2.35-2.42
S (0.4608, 0.7500, 0.1554) x2  3 In 2.54-2.78

Results
E = -49.8 eV/cell
excess energy over the best structure of this formula in the dataset = 0.000 eV/atom



[10]
Entry from the Open Quantum Materials Database: a geometry-optimized PuMgFe structure (PBE-GGA).

Unit cell a=6.1287 b=6.1287 c=6.1287 alpha=90.00 beta=90.00 gamma=90.00
With the nearest neighbours (Å) after each atom.
Space group F-43m (No. 216)
Symmetry-distinct sites (fractional):
Pu (0.0000, 0.0000, 0.0000) x4  4 Fe 2.65
Mg (0.0000, 0.0000, 0.5000) x4  4 Fe 2.65
Fe (0.2500, 0.2500, 0.7500) x4  4 Mg 2.65, 4 Pu 2.65

Results
E = -91.6 eV/cell
M_tot = 15.66 Bohr magnetons per cell



[11]
Entry from the Open Quantum Materials Database: a geometry-optimized ZnPbNO structure (PBE-GGA).

Unit cell a=5.4768 b=5.4764 c=8.3086 alpha=90.00 beta=90.08 gamma=90.00
With the nearest neighbours (Å) after each atom.
Space group Cm (No. 8)
Symmetry-distinct sites (fractional):
Zn (0.0000, 0.2501, 0.0000) x4  4 N 2.07-2.08
Pb (0.2497, 0.0000, 0.3498) x2  4 O 2.30
Pb (0.2502, 0.5000, 0.6503) x2  4 O 2.31
N (0.2498, 0.0000, 0.9104) x2  4 Zn 2.07
N (0.2502, 0.5000, 0.0904) x2  4 Zn 2.08
O (0.9999, 0.2501, 0.4993) x4  4 Pb 2.30-2.31

Results
E = -73.9 eV/cell
excess energy over the best structure of this formula in the dataset = 0.173 eV/atom



[12]
Entry from the Open Quantum Materials Database: a geometry-optimized SmZnInTe3 structure (PBE-GGA).

Unit cell a=12.5763 b=4.5449 c=13.0727 alpha=90.00 beta=90.00 gamma=90.00
With the nearest neighbours (Å) after each atom.
Space group Pnma (No. 62)
Symmetry-distinct sites (fractional):
Sm (0.0249, 0.2500, 0.1835) x4  7 Te 3.19-3.48
Zn (0.2423, 0.7500, 0.3004) x4  4 Te 2.66-2.73
In (0.1827, 0.2500, 0.4937) x4  7 Te 3.41-3.62, 2 Zn 3.48
Te (0.0385, 0.7500, 0.3550) x4  1 Zn 2.66
Te (0.1004, 0.2500, 0.9388) x4  1 Zn 2.68
Te (0.2189, 0.7500, 0.6905) x4  2 Zn 2.73

Results
E = -90.6 eV/cell
M_tot = 0.01 Bohr magnetons per cell
excess energy over the best structure of this formula in the dataset = 0.037 eV/atom